# 1
A geometry-optimized Li2La2PmGe2 structure, computed with PBE-GGA.

Values from the calculation:
- calculated formation energy (kJ/mol of formula units) = -341

a = 4.5583 Å, b = 4.5583 Å, c = 27.6250 Å
α = 90.00°, β = 90.00°, γ = 120.00°
With the nearest neighbours (Å) after each atom.
Space group R-3m (No. 166, hexagonal axes)
One atom of each set of equivalent atoms:
Li1 0.0000 0.0000 0.1007 (multiplicity 6)  3 Ge 2.63
La1 0.0000 0.0000 0.3681 (multiplicity 6)  3 Ge 3.18, 3 Li 3.20, 3 La 3.26
Pm1 0.0000 0.0000 0.5000 (multiplicity 3)  6 Li 3.20, 6 Ge 3.22
Ge1 0.0000 0.0000 0.2338 (multiplicity 6)  3 Li 2.63


# 2
A geometry-optimized Li2Ag4Au structure, computed with PBE-GGA.

Values from the calculation:
- calculated formation energy (kJ/mol of formula units) = -75

a = 5.3785 Å, b = 5.5108 Å, c = 10.0224 Å
α = 89.93°, β = 89.91°, γ = 61.29°
With the nearest neighbours (Å) after each atom.
Space group P-1 (No. 2)
One atom of each set of equivalent atoms:
Li1 0.1089 0.2014 0.4523 (multiplicity 2)  4 Ag 2.73-2.98, 1 Au 2.91
Li2 0.3900 0.7993 0.9521 (multiplicity 2)  4 Ag 2.74-2.98, 1 Au 2.92
Ag1 0.1516 0.0725 0.1846 (multiplicity 2)  3 Li 2.74-2.98, 1 Au 2.79, 6 Ag 2.80-2.99
Ag2 0.1560 0.5811 0.2680 (multiplicity 2)  6 Ag 2.71-2.94, 2 Au 2.87-2.91, 1 Li 2.89
Ag3 0.3439 0.4189 0.7680 (multiplicity 2)  6 Ag 2.71-2.94, 2 Au 2.87-2.91, 1 Li 2.89
Ag4 0.3488 0.9279 0.6840 (multiplicity 2)  3 Li 2.73-2.98, 1 Au 2.79, 6 Ag 2.80-2.99
Au1 0.0000 0.5000 0.0000 (multiplicity 1)  6 Ag 2.79-2.91, 2 Li 2.92
Au2 0.5000 0.5000 0.5000 (multiplicity 1)  6 Ag 2.79-2.91, 2 Li 2.91


# 3
A geometry-optimized Dy2CO structure, computed with PBE-GGA.

Values from the calculation:
- formation energy from raw total energies (eV per atom) = -1.73

a = 7.0153 Å, b = 14.0405 Å, c = 6.0982 Å
α = 90.00°, β = 124.97°, γ = 90.00°
With the nearest neighbours (Å) after each atom.
Space group C2/c (No. 15)
One atom of each set of equivalent atoms:
Dy1 0.2464 0.0623 0.2428 (multiplicity 8)  3 C 2.46-2.48, 3 O 2.48-2.53
Dy2 0.2502 0.1873 0.7571 (multiplicity 8)  3 C 2.46-2.47, 3 O 2.50-2.53
C1 0.0000 0.0620 0.7500 (multiplicity 4)  6 Dy 2.46-2.47
C2 0.0000 0.3133 0.7500 (multiplicity 4)  6 Dy 2.46-2.48
O1 0.0000 0.1874 0.2500 (multiplicity 4)  6 Dy 2.48-2.53
O2 0.0000 0.4377 0.2500 (multiplicity 4)  6 Dy 2.48-2.53


# 4
A geometry-optimized Sm8Mg structure, computed with PBE-GGA.

Values from the calculation:
- calculated formation energy (kJ/mol of formula units) = 57

a = 12.5150 Å, b = 12.5150 Å, c = 3.7661 Å
α = 90.00°, β = 90.00°, γ = 90.00°
With the nearest neighbours (Å) after each atom.
Space group I4/mmm (No. 139)
One atom of each set of equivalent atoms:
Sm1 0.0000 0.3343 0.0000 (multiplicity 8)  10 Sm 3.49-3.77
Sm2 0.1585 0.1585 0.5000 (multiplicity 8)  2 Mg 3.38, 8 Sm 3.51-3.77
Mg1 0.0000 0.0000 0.0000 (multiplicity 2)  8 Sm 3.38, 2 Mg 3.77


Size of the total moment / Bohr magnetons per cell: 0.00 0.00 0.00 0.00
Volume / A^3/atom: 23.67 18.61 15.38 32.77
Energy / eV per atom: -4.458 -2.755 -7.578 -4.306